{
  "formula": "BaMoRh2",
  "functional": "PBE",
  "state": "relaxed",
  "lattice": [[-3.6025, -0.9940, 2.9015], [-2.3306, -2.0228, -3.5863], [4.3765, -1.4331, 1.0853]],
  "species": ["Ba", "Rh", "Rh", "Mo"],
  "frac_coords": [[0.5000, 0.5000, 0.0000], [0.2500, 0.7500, 0.5000], [0.0000, 0.0000, 0.0000], [0.7500, 0.2500, 0.5000]],
  "formation_enthalpy_0k_ev_per_atom": 0.805,
  "m_tot_mub_per_cell": 0.00,
  "polymorph_energy_mev_per_atom": 679,
  "spacegroup": "No. 216",
  "n_ef_per_ev_atom": 1.21
}